No. 1
Here is RbCu3P after structural relaxation from the Alexandria database. Energies are from PBE-GGA.

Values from the calculation:
- SG: Pm-3m, No. 221
- Volume: 19.82 Å³ per atom
- Calculated formation energy: 106 kJ/mol of formula units
- Excess energy over the best structure of this formula in the dataset: 0 meV per atom

Cell: 4.627 4.627 4.627 Å, 90.00 90.00 90.00°
Positions (direct):
Rb (0.000, 0.000, 0.000)
Cu (0.000, 0.500, 0.500)
Cu (0.500, 0.000, 0.500)
Cu (0.500, 0.500, 0.000)
P (0.500, 0.500, 0.500)

No. 2
Here is CaTe2Rh after structural relaxation from the Alexandria database. Energies are from PBE-GGA.

Values from the calculation:
- SG: P4/mmm, No. 123
- Volume: 23.82 Å³ per atom
- ΔE_f (raw): -0.3516 eV per atom
- Excess energy over the best structure of this formula in the dataset: 462 meV per atom

Cell: 3.555 3.555 7.539 Å, 90.00 90.00 90.00°
Positions (direct):
Ca (0.000, 0.000, 0.000)
Te (0.500, 0.500, 0.285)
Te (0.500, 0.500, 0.715)
Rh (0.000, 0.000, 0.500)

No. 3
Here is Ca2ReCl after structural relaxation from the Alexandria database. Energies are from PBE-GGA.

Values from the calculation:
- SG: Immm, No. 71
- Volume: 26.94 Å³ per atom
- ΔE_f (raw): 0.3124 eV per atom
- Excess energy over the best structure of this formula in the dataset: 554 meV per atom

Cell: 5.955 5.955 5.955 Å, 145.89 111.50 78.79°
Positions (direct):
Ca (0.230, 0.230, 0.000)
Ca (0.770, 0.770, 0.000)
Re (0.500, 0.000, 0.500)
Cl (0.000, 0.500, 0.500)

No. 4
Here is Ce2MnGe4Pt3 after structural relaxation from the Alexandria database. Energies are from PBE-GGA.

Values from the calculation:
- SG: P-4m2, No. 115
- Volume: 19.05 Å³ per atom
- Calculated formation energy: -781 kJ/mol of formula units

Cell: 4.288 4.288 10.362 Å, 90.00 90.00 90.00°
Positions (direct):
Ce (0.000, 0.500, 0.249)
Ce (0.500, 0.000, 0.751)
Mn (0.000, 0.000, 0.500)
Ge (0.000, 0.000, 0.000)
Ge (0.000, 0.500, 0.633)
Ge (0.500, 0.000, 0.367)
Ge (0.500, 0.500, 0.000)
Pt (0.000, 0.500, 0.872)
Pt (0.500, 0.000, 0.128)
Pt (0.500, 0.500, 0.500)